DFT (GGA-PBE) results for crystalline Nd2GdMg at its relaxed geometry.

Properties
- total moment (μB per atom) = 1.8536
- electronic total energy (eV per atom) = -6.337
- energy above the most stable polymorph in this dataset (meV/atom) = 0
- formation energy from the elements (eV per atom) = -0.034

Structure (POSCAR):
```
Nd2GdMg
1.0
3.760 0.000 0.000
0.000 3.760 0.000
0.000 0.000 8.979
Nd Mg Gd
2 1 1
direct
0.000 0.000 0.228 Nd
0.000 0.000 0.772 Nd
0.500 0.500 0.000 Mg
0.500 0.500 0.500 Gd
```